Record 1
The following is a PBE-GGA calculation of an optimized crystal structure of Li6AlAg2, from Alexandria.

Lattice parameters (Å, degrees): 7.769 7.769 2.796 90.00 90.00 120.00
Fractional positions:
Li1 0.668 0.000 0.500
Li2 0.000 0.668 0.500
Li3 0.332 0.000 0.500
Li4 0.668 0.668 0.500
Li5 0.000 0.332 0.500
Li6 0.332 0.332 0.500
Al1 0.000 0.000 0.000
Ag1 0.333 0.667 0.000
Ag2 0.667 0.333 0.000

energy of formation from the pure elements: -1.40 eV/f.u.
density: 3.23 g cm⁻³
total DFT energy (no corrections): -2.481 eV/atom
offset from the most stable computed form: 0.00 eV/f.u.

Record 2
The following is a PBE-GGA calculation of an optimized crystal structure of LiAl2Ag2, from Alexandria.

Lattice parameters (Å, degrees): 4.762 4.762 8.461 104.43 99.48 105.34
Fractional positions:
Li1 0.698 0.948 0.250
Li2 0.302 0.052 0.750
Al1 0.239 0.213 0.134
Al2 0.079 0.605 0.366
Al3 0.761 0.787 0.866
Al4 0.921 0.395 0.634
Ag1 0.734 0.353 0.043
Ag2 0.309 0.191 0.457
Ag3 0.266 0.647 0.957
Ag4 0.691 0.809 0.543

energy of formation from the pure elements: -0.59 eV/f.u.
density: 5.29 g cm⁻³
total DFT energy (no corrections): -3.138 eV/atom
offset from the most stable computed form: 0.07 eV/f.u.